Here is a relaxed structure of Li2Tl2Rh from the Alexandria database. Energies are from PBE.

volume: 185 Å³/cell
ΔE to the lowest computed polymorph: 139 meV per atom
energy relative to the elements: -0.20 kcal/mol of atoms
uncorrected energy: -3.19 eV per atom

Cell lengths 7.414, 7.414, 3.371 Å; angles 90.00, 90.00, 90.00 degrees
Space group P4/mbm (No. 127)
One atom of each set of equivalent atoms:
Li 0.153 0.347 0.000
Tl 0.153 0.653 0.500
Rh 0.000 0.000 0.500

---

Here is a relaxed structure of Nd2Y3Rh2 from the Alexandria database. Energies are from PBE.

volume: 383 Å³/cell
energy relative to the elements: -12.29 kcal/mol of atoms
uncorrected energy: -6.77 eV per atom

Cell lengths 12.359, 3.782, 9.136 Å; angles 90.00, 116.27, 90.00 degrees
Space group C2/m (No. 12)
One atom of each set of equivalent atoms:
Nd 0.166 0.000 0.307
Y 0.000 0.500 0.500
Y 0.117 0.500 0.929
Rh 0.174 0.000 0.742

---

Here is a relaxed structure of Na3Tm3NbS8 from the Alexandria database. Energies are from PBE.

volume: 1040 Å³/cell
formation energy (no corrections): -1630 meV/atom
uncorrected energy: -5.66 eV per atom

Cell lengths 7.6900, 7.6900, 20.3139 Å; angles 90.00, 90.00, 120.00 degrees
Space group R-3m (No. 166, hexagonal axes)
One atom of each set of equivalent atoms:
Na 0.0000 0.5000 0.0000
Tm 0.0000 0.5000 0.5000
Nb 0.0000 0.0000 0.5000
S 0.0000 0.0000 0.2418
S 0.0184 0.5092 0.2380

---

Here is a relaxed structure of UFeRh from the Alexandria database. Energies are from PBE.

volume: 97 Å³/cell
ΔE to the lowest computed polymorph: 0 meV per atom
energy relative to the elements: -1.22 kcal/mol of atoms
uncorrected energy: -9.09 eV per atom

Cell lengths 2.937, 2.937, 11.255 Å; angles 90.00, 90.00, 90.00 degrees
Space group I4mm (No. 107)
One atom of each set of equivalent atoms:
U 0.000 0.000 0.000
Fe 0.000 0.000 0.327
Rh 0.000 0.000 0.688

---

Here is a relaxed structure of AgAs2Pb2 from the Alexandria database. Energies are from PBE.

volume: 256 Å³/cell
ΔE to the lowest computed polymorph: 0 meV per atom
energy relative to the elements: 3.84 kcal/mol of atoms
uncorrected energy: -3.75 eV per atom

Cell lengths 3.747, 3.747, 18.215 Å; angles 90.00, 90.00, 90.00 degrees
Space group I4/mmm (No. 139)
One atom of each set of equivalent atoms:
Ag 0.000 0.000 0.000
As 0.000 0.500 0.250
Pb 0.000 0.000 0.401

---

Here is a relaxed structure of CsRh from the Alexandria database. Energies are from PBE.

volume: 415 Å³/cell
energy relative to the elements: 14.71 kcal/mol of atoms
uncorrected energy: -3.46 eV per atom

Cell lengths 4.582, 13.793, 6.571 Å; angles 90.00, 90.00, 90.00 degrees
Space group Pmmn (No. 59, origin choice 2)
One atom of each set of equivalent atoms:
Cs 0.250 0.039 0.222
Cs 0.250 0.750 0.604
Rh 0.250 0.250 0.888
Rh 0.250 0.661 0.126

---

- The highest uncorrected energy belongs to which entry?
  Li2Tl2Rh

---

Please write out number 1 again, unchanged.
Here is a relaxed structure of Li2Tl2Rh from the Alexandria database. Energies are from PBE.

volume: 185 Å³/cell
ΔE to the lowest computed polymorph: 139 meV per atom
energy relative to the elements: -0.20 kcal/mol of atoms
uncorrected energy: -3.19 eV per atom

Cell lengths 7.414, 7.414, 3.371 Å; angles 90.00, 90.00, 90.00 degrees
Space group P4/mbm (No. 127)
One atom of each set of equivalent atoms:
Li 0.153 0.347 0.000
Tl 0.153 0.653 0.500
Rh 0.000 0.000 0.500